(1)
Compound: PmBi2Pd
Source: the Alexandria database
Functional: GGA-PBE
Structure: relaxed

Structure (POSCAR):
```
PmBi2Pd
1.0
3.551 0.000 0.000
-1.775 3.075 0.000
0.000 0.000 31.554
Pm Bi Pd
3 6 3
Direct
0.000 0.000 0.000
0.333 0.667 0.667
0.667 0.333 0.333
0.000 0.000 0.103
0.000 0.000 0.897
0.333 0.667 0.564
0.333 0.667 0.770
0.667 0.333 0.230
0.667 0.333 0.436
0.000 0.000 0.500
0.333 0.667 0.167
0.667 0.333 0.833
```

Results
As for the offset from the most stable computed form: 422.0 meV/atom. The calculated formation energy is -96 meV per atom. For the mass density, the calculation gives 9.7 g/cm3. The value obtained for the density of states at the Fermi level is 10.65 states/eV per cell.

***

(2)
Compound: Nd2DyTh3Sb6
Source: the Alexandria database
Functional: GGA-PBE
Structure: relaxed

Structure (POSCAR):
```
Nd2DyTh3Sb6
1.0
9.793 -2.249 0.000
9.793 2.249 0.000
-2.039 0.000 8.733
Nd Dy Th Sb
2 1 3 6
Direct
0.166 0.166 0.333
0.834 0.834 0.667
0.500 0.500 0.000
0.168 0.168 0.834
0.500 0.500 0.500
0.832 0.832 0.166
0.001 0.001 0.756
0.334 0.334 0.417
0.336 0.336 0.919
0.664 0.664 0.081
0.666 0.666 0.583
0.999 0.999 0.244
```

Results
For the energy relative to the elements, uncorrected, the calculation gives -1046.9 meV per atom. For the mass density, the calculation gives 8.1 g/cm3. The value obtained for the density of states at the Fermi level is 6.19 states/eV per cell.

***

(3)
Compound: FeSi2Ru
Source: the Alexandria database
Functional: GGA-PBE
Structure: relaxed

Structure (POSCAR):
```
FeSi2Ru
1.0
2.665 0.000 0.000
0.000 2.665 0.000
0.000 0.000 7.220
Fe Si Ru
1 2 1
Direct
0.000 0.000 0.000
0.000 0.000 0.483
0.500 0.500 0.788
0.500 0.500 0.239
```

Results
For the energy relative to the elements, uncorrected, the calculation gives 25.5 meV per atom. For the mass density, the calculation gives 6.9 g/cm3. The value obtained for the density of states at the Fermi level is 3.93 states/eV per cell.

***

(4)
Compound: AgHg2TeI2
Source: the Alexandria database
Functional: GGA-PBE
Structure: relaxed

Structure (POSCAR):
```
AgHg2TeI2
1.0
8.733 -3.673 0.000
8.733 3.673 0.000
0.000 0.000 6.558
Ag Hg Te I
2 4 2 4
Direct
0.027 0.973 0.500
0.973 0.027 0.000
0.116 0.558 0.149
0.442 0.884 0.149
0.558 0.116 0.649
0.884 0.442 0.649
0.288 0.712 0.210
0.712 0.288 0.710
0.071 0.594 0.661
0.406 0.929 0.661
0.594 0.071 0.161
0.929 0.406 0.161
```

Results
For the energy relative to the elements, uncorrected, the calculation gives -96.6 meV per atom. For the mass density, the calculation gives 7.0 g/cm3. The value obtained for the density of states at the Fermi level is 4.38 states/eV per cell.

***

(5)
Compound: GeTeH2
Source: the Alexandria database
Functional: GGA-PBE
Structure: relaxed

Structure (POSCAR):
```
GeTeH2
1.0
3.947 0.000 0.000
0.000 18.716 0.000
0.000 0.000 6.134
Ge Te H
4 4 8
Direct
0.000 0.213 0.250
0.000 0.787 0.750
0.500 0.287 0.750
0.500 0.713 0.250
0.000 0.185 0.750
0.000 0.815 0.250
0.500 0.315 0.250
0.500 0.685 0.750
0.000 0.461 0.689
0.000 0.461 0.811
0.000 0.539 0.189
0.000 0.539 0.311
0.500 0.039 0.189
0.500 0.039 0.311
0.500 0.961 0.689
0.500 0.961 0.811
```

Results
As for the offset from the most stable computed form: 0.0 meV/atom. For the mass density, the calculation gives 3.0 g/cm3.

***

(6)
Compound: PmHoBeOs
Source: the Alexandria database
Functional: GGA-PBE
Structure: relaxed

Structure (POSCAR):
```
PmHoBeOs
1.0
6.909 0.000 0.000
0.000 6.909 0.000
0.000 0.000 6.909
Pm Ho Be Os
4 4 4 4
Direct
0.000 0.000 0.000
0.000 0.500 0.500
0.500 0.000 0.500
0.500 0.500 0.000
0.000 0.000 0.500
0.000 0.500 0.000
0.500 0.000 0.000
0.500 0.500 0.500
0.250 0.250 0.250
0.250 0.750 0.750
0.750 0.250 0.750
0.750 0.750 0.250
0.250 0.250 0.750
0.250 0.750 0.250
0.750 0.250 0.250
0.750 0.750 0.750
```

Results
The calculated formation energy is 18 meV per atom. For the mass density, the calculation gives 10.3 g/cm3. The value obtained for the density of states at the Fermi level is 13.66 states/eV per cell.

***

(7)
Compound: CaAlTcPd2
Source: the Alexandria database
Functional: GGA-PBE
Structure: relaxed

Structure (POSCAR):
```
CaAlTcPd2
1.0
4.776 0.000 0.000
0.000 4.776 0.000
0.000 0.000 4.911
Ca Al Tc Pd
1 1 1 2
Direct
0.000 0.000 0.000
0.500 0.500 0.500
0.000 0.000 0.500
0.000 0.500 0.000
0.500 0.000 0.000
```

Results
The calculated formation energy is 1343 meV per atom. For the mass density, the calculation gives 5.6 g/cm3. The value obtained for the density of states at the Fermi level is 3.21 states/eV per cell.

***

(8)
Compound: Tb3Sm6YSc2
Source: the Alexandria database
Functional: GGA-PBE
Structure: relaxed

Structure (POSCAR):
```
Tb3Sm6YSc2
1.0
3.082 -5.335 0.000
3.082 5.335 0.000
-2.048 0.000 11.467
Tb Sm Y Sc
3 6 1 2
Direct
0.000 0.000 0.000
0.333 0.667 0.000
0.667 0.333 0.000
0.081 0.418 0.256
0.245 0.245 0.744
0.418 0.081 0.256
0.582 0.919 0.744
0.755 0.755 0.256
0.919 0.582 0.744
0.500 0.500 0.500
0.167 0.833 0.500
0.833 0.167 0.500
```

Results
The calculated formation energy is 35 meV per atom. For the mass density, the calculation gives 6.9 g/cm3. The value obtained for the density of states at the Fermi level is 14.80 states/eV per cell.